LaDyCuPb | PBE | optimized geometry

Values from the calculation:
For the magnetization, the calculation gives 0.32 μB per formula unit. The density of states at the Fermi level is 1.153 states/eV/atom. As for the formation energy: -0.3030 eV/atom.

The structure in CIF format:
```
data_LaDyCuPb
_space_group_name_H-M_alt 'F -4 3 m'
_space_group_IT_number 216
_space_group_name_Hall 'F -4 2 3'
_cell_length_a 7.563
_cell_length_b 7.563
_cell_length_c 7.563
_cell_angle_alpha 90.00
_cell_angle_beta 90.00
_cell_angle_gamma 90.00
loop_
_atom_site_label
_atom_site_type_symbol
_atom_site_fract_x
_atom_site_fract_y
_atom_site_fract_z
La1 La 0.000 0.000 0.000
Dy1 Dy 0.000 0.000 0.500
Cu1 Cu 0.250 0.250 0.750
Pb1 Pb 0.250 0.250 0.250
```

***

LaDyCuPd | PBE | optimized geometry

Values from the calculation:
For the magnetization, the calculation gives 0.00 μB per formula unit. The density of states at the Fermi level is 0.607 states/eV/atom. As for the formation energy: -0.4899 eV/atom.

The structure in CIF format:
```
data_LaDyCuPd
_space_group_name_H-M_alt 'F -4 3 m'
_space_group_IT_number 216
_space_group_name_Hall 'F -4 2 3'
_cell_length_a 7.183
_cell_length_b 7.183
_cell_length_c 7.183
_cell_angle_alpha 90.00
_cell_angle_beta 90.00
_cell_angle_gamma 90.00
loop_
_atom_site_label
_atom_site_type_symbol
_atom_site_fract_x
_atom_site_fract_y
_atom_site_fract_z
La1 La 0.000 0.000 0.000
Dy1 Dy 0.000 0.000 0.500
Cu1 Cu 0.250 0.250 0.750
Pd1 Pd 0.250 0.250 0.250
```

***

LaDyCuPd | PBE | optimized geometry

Values from the calculation:
For the magnetization, the calculation gives 0.00 μB per formula unit. The density of states at the Fermi level is 0.916 states/eV/atom. As for the formation energy: -0.5326 eV/atom.

The structure in CIF format:
```
data_LaDyCuPd
_space_group_name_H-M_alt 'A m m 2'
_space_group_IT_number 38
_space_group_name_Hall 'A 2 -2'
_cell_length_a 4.609
_cell_length_b 3.870
_cell_length_c 10.728
_cell_angle_alpha 90.00
_cell_angle_beta 90.00
_cell_angle_gamma 90.00
loop_
_atom_site_label
_atom_site_type_symbol
_atom_site_fract_x
_atom_site_fract_y
_atom_site_fract_z
La1 La 0.000 0.000 0.000
Dy1 Dy 0.500 0.000 0.724
Cu1 Cu 0.000 0.000 0.281
Pd1 Pd 0.500 0.000 0.433
```

***

LaPrDyCu | PBE | optimized geometry

Values from the calculation:
For the magnetization, the calculation gives 0.00 μB per formula unit. The density of states at the Fermi level is 1.013 states/eV/atom. As for the formation energy: -0.0795 eV/atom.

The structure in CIF format:
```
data_LaPrDyCu
_space_group_name_H-M_alt 'P 4 m m'
_space_group_IT_number 99
_space_group_name_Hall 'P 4 -2'
_cell_length_a 3.610
_cell_length_b 3.610
_cell_length_c 8.884
_cell_angle_alpha 90.00
_cell_angle_beta 90.00
_cell_angle_gamma 90.00
loop_
_atom_site_label
_atom_site_type_symbol
_atom_site_fract_x
_atom_site_fract_y
_atom_site_fract_z
La1 La 0.000 0.000 0.000
Pr1 Pr 0.500 0.500 0.316
Dy1 Dy 0.000 0.000 0.613
Cu1 Cu 0.500 0.500 0.783
```

***

La2DyCuSe5 | PBE | optimized geometry

Values from the calculation:
The value obtained for the formation energy from raw total energies is -1692 meV/atom. For the magnetization, the calculation gives 0.00 μB per formula unit. The density of states at the Fermi level is 0.000 states/eV/atom.

The structure in CIF format:
```
data_La2DyCuSe5
_space_group_name_H-M_alt 'C m c 21'
_space_group_IT_number 36
_space_group_name_Hall 'C 2c -2'
_cell_length_a 4.134
_cell_length_b 17.779
_cell_length_c 12.278
_cell_angle_alpha 90.00
_cell_angle_beta 90.00
_cell_angle_gamma 90.00
loop_
_atom_site_label
_atom_site_type_symbol
_atom_site_fract_x
_atom_site_fract_y
_atom_site_fract_z
La1 La 0.000 0.111 0.000
La2 La 0.000 0.121 0.627
Dy1 Dy 0.000 0.192 0.325
Cu1 Cu 0.000 0.437 0.763
Se1 Se 0.000 0.040 0.367
Se2 Se 0.000 0.291 0.986
Se3 Se 0.000 0.311 0.663
Se4 Se 0.000 0.355 0.316
Se5 Se 0.000 0.499 0.088
```

***

La3Dy3CuSe8 | PBE | optimized geometry

Values from the calculation:
The value obtained for the formation energy from raw total energies is -1687 meV/atom. For the magnetization, the calculation gives 0.00 μB per formula unit. The density of states at the Fermi level is 0.321 states/eV/atom.

The structure in CIF format:
```
data_La3Dy3CuSe8
_space_group_name_H-M_alt 'R -3 m'
_space_group_IT_number 166
_space_group_name_Hall '-R 3 2"'
_cell_length_a 8.2784
_cell_length_b 8.2784
_cell_length_c 20.5363
_cell_angle_alpha 90.00
_cell_angle_beta 90.00
_cell_angle_gamma 120.00
loop_
_atom_site_label
_atom_site_type_symbol
_atom_site_fract_x
_atom_site_fract_y
_atom_site_fract_z
La1 La 0.0000 0.5000 0.0000
Dy1 Dy 0.0000 0.5000 0.5000
Cu1 Cu 0.0000 0.0000 0.5000
Se1 Se 0.0000 0.0000 0.2441
Se2 Se 0.0037 0.5018 0.2436
```

***

Q: Which of these has the highest magnetization?
A: LaDyCuPb